No. 1
Computed, not measured: crystalline CdIn2Co at its relaxed geometry at the PBE level of DFT.

Volume in Å³ per atom: 20.2
Formation energy in eV per atom: 0.4389
Electronic total energy in eV per cell: -11.7

Cell lengths 4.854, 4.854, 4.854 Å; angles 60.00, 60.00, 60.00 degrees
Last column: magnetic moment on the atom in μB.
Fractional coordinates of all 4 atoms:
Cd: 0.500 0.500 0.500  0.00
Co: 0.750 0.750 0.750  1.22
In: 0.000 0.000 0.000  0.00
In: 0.250 0.250 0.250  0.04



No. 2
Computed, not measured: crystalline CdIn2Co at its relaxed geometry at the PBE level of DFT.

Volume in Å³ per atom: 19.0
Formation energy in eV per atom: 0.3182
Electronic total energy in eV per cell: -12.2

Cell lengths 4.305, 4.306, 4.098 Å; angles 90.00, 90.00, 90.00 degrees
Fractional coordinates of all 4 atoms:
Cd: 0.500 0.000 0.500
Co: 0.000 0.500 0.500
In: 0.000 0.000 0.000
In: 0.500 0.500 0.000



No. 3
Computed, not measured: crystalline Cd2InCo at its relaxed geometry at the PBE level of DFT.

Volume in Å³ per atom: 19.8
Formation energy in eV per atom: 0.2605
Electronic total energy in eV per cell: -10.6

Cell lengths 9.587, 9.587, 9.587 Å; angles 18.70, 18.70, 18.70 degrees
Last column: magnetic moment on the atom in μB.
Fractional coordinates of all 4 atoms:
Cd: 0.000 0.000 0.000  0.01
Cd: 0.238 0.238 0.238  -0.02
Co: 0.499 0.499 0.499  1.21
In: 0.763 0.763 0.763  -0.01



- Among the records above, which one has the highest electronic total energy?
  Cd2InCo